(1)
Computed, not measured: crystalline CdSe3Cl at its relaxed geometry at the PBE level of DFT.

a b c (Å): 5.2539 5.2539 5.2539
angles (deg): 90.00 90.00 90.00
Positions (direct):
Cd 0.0000 0.0000 0.0000
Se 0.0000 0.0000 0.5000
Se 0.0000 0.5000 0.0000
Se 0.5000 0.0000 0.0000
Cl 0.5000 0.5000 0.5000

- calculated density (kg/m3) = 4405
- space group = Pm-3m, No. 221
- uncorrected energy (eV/f.u.) = -9.78
- relative energy among the computed polymorphs (kJ per mole of atoms) = 0.0

(2)
Computed, not measured: crystalline LiLa4Te5 at its relaxed geometry at the PBE level of DFT.

a b c (Å): 7.8657 7.8657 7.8657
angles (deg): 99.67 99.67 131.60
Positions (direct):
Li 0.0000 0.0000 0.0000
La 0.2341 0.4390 0.6012
La 0.4390 0.8378 0.2049
La 0.6329 0.2341 0.7951
La 0.8378 0.6329 0.3988
Te 0.1325 0.7491 0.8095
Te 0.3230 0.1325 0.3834
Te 0.5360 0.5360 0.0000
Te 0.7491 0.9395 0.6166
Te 0.9395 0.3230 0.1905

- calculated density (kg/m3) = 6006
- space group = I4, No. 79
- uncorrected energy (eV/f.u.) = -52.42

(3)
Computed, not measured: crystalline TmTl2In2Cl6 at its relaxed geometry at the PBE level of DFT.

a b c (Å): 7.9834 7.9834 8.2564
angles (deg): 96.46 96.46 125.90
Positions (direct):
Tm 0.0000 0.0000 0.0000
Tl 0.3345 0.6655 0.0000
Tl 0.6655 0.3345 0.0000
In 0.2577 0.7423 0.5000
In 0.7423 0.2577 0.5000
Cl 0.0543 0.7916 0.1966
Cl 0.2084 0.9457 0.8034
Cl 0.3506 0.3506 0.1786
Cl 0.6494 0.6494 0.8214
Cl 0.7916 0.0543 0.1966
Cl 0.9457 0.2084 0.8034

- calculated density (kg/m3) = 4101
- space group = C2/m, No. 12
- uncorrected energy (eV/f.u.) = -39.61